# 1
# PBE BiHPd4, relaxed
# ΔE to the lowest computed polymorph in eV/atom: 0.000
# Mass density in g/cm³: 11.61
# V in Å³/atom: 15.15
# Calculated total energy in eV per atom: -4.8306
# Magnetic moment in μB per cell: 0.00
data_BiHPd4
_cell_length_a 4.271
_cell_length_b 5.712
_cell_length_c 7.751
_cell_angle_alpha 90.00
_cell_angle_beta 105.99
_cell_angle_gamma 90.00
_symmetry_space_group_name_H-M 'P 1'
_symmetry_Int_Tables_number 1
loop_
_symmetry_equiv_pos_as_xyz
'x,y,z'
loop_
_atom_site_label
_atom_site_type_symbol
_atom_site_fract_x
_atom_site_fract_y
_atom_site_fract_z
_atom_site_occupancy
Pd1 Pd 0.192 0.512 0.383 1
Pd2 Pd 0.808 0.488 0.617 1
Pd3 Pd 0.596 0.750 0.192 1
Pd4 Pd 0.808 0.012 0.617 1
Pd5 Pd 0.192 0.988 0.383 1
Pd6 Pd 0.000 0.500 0.000 1
Pd7 Pd 0.000 0.000 0.000 1
Pd8 Pd 0.404 0.250 0.808 1
Bi1 Bi 0.379 0.750 0.757 1
Bi2 Bi 0.621 0.250 0.243 1
H1 H 0.083 0.750 0.166 1
H2 H 0.917 0.250 0.834 1

***

# 2
# PBE Tm4Te5Se2, relaxed
# Mass density in g/cm³: 6.04
# V in Å³/atom: 36.79
# Calculated total energy in eV per atom: -4.8960
# Formation energy (no corrections) in eV per atom: -1.208
# Magnetic moment in μB per cell: 0.00
data_Tm4Te5Se2
_cell_length_a 4.124
_cell_length_b 7.101
_cell_length_c 13.972
_cell_angle_alpha 89.00
_cell_angle_beta 98.49
_cell_angle_gamma 90.00
_symmetry_space_group_name_H-M 'P 1'
_symmetry_Int_Tables_number 1
loop_
_symmetry_equiv_pos_as_xyz
'x,y,z'
loop_
_atom_site_label
_atom_site_type_symbol
_atom_site_fract_x
_atom_site_fract_y
_atom_site_fract_z
_atom_site_occupancy
Te1 Te 0.216 0.345 0.431 1
Te2 Te 0.844 0.076 0.688 1
Te3 Te 0.156 0.924 0.312 1
Te4 Te 0.784 0.655 0.569 1
Te5 Te 0.500 0.000 0.000 1
Tm1 Tm 0.943 0.226 0.886 1
Tm2 Tm 0.057 0.774 0.114 1
Tm3 Tm 0.672 0.621 0.344 1
Tm4 Tm 0.328 0.379 0.656 1
Se1 Se 0.424 0.476 0.847 1
Se2 Se 0.576 0.524 0.153 1

***

# 3
# PBE Sc2AlZnGa, relaxed
# Mass density in g/cm³: 4.40
# V in Å³/atom: 19.01
# Calculated total energy in eV per atom: -4.5269
# Magnetic moment in μB per cell: 0.00
# Formation enthalpy at 0 K in kJ/mol of formula units: -186.0
data_Sc2AlZnGa
_cell_length_a 4.225
_cell_length_b 7.019
_cell_length_c 6.696
_cell_angle_alpha 106.85
_cell_angle_beta 90.00
_cell_angle_gamma 90.00
_symmetry_space_group_name_H-M 'P 1'
_symmetry_Int_Tables_number 1
loop_
_symmetry_equiv_pos_as_xyz
'x,y,z'
loop_
_atom_site_label
_atom_site_type_symbol
_atom_site_fract_x
_atom_site_fract_y
_atom_site_fract_z
_atom_site_occupancy
Al1 Al 0.250 0.675 0.328 1
Al2 Al 0.750 0.325 0.672 1
Sc1 Sc 0.250 0.311 0.958 1
Sc2 Sc 0.250 0.124 0.389 1
Sc3 Sc 0.750 0.876 0.611 1
Sc4 Sc 0.750 0.689 0.042 1
Zn1 Zn 0.750 0.086 0.082 1
Zn2 Zn 0.250 0.914 0.918 1
Ga1 Ga 0.250 0.560 0.688 1
Ga2 Ga 0.750 0.440 0.312 1